--- i ---
Entry from Alexandria via LeMat-Bulk: an optimized crystal structure of NaOsC2 (GGA-PBE).

Results
The total moment comes out at 0.00 μB/f.u. As for the density: 9924 kg/m³.

Lattice parameters (Å, degrees): 3.8290 3.8290 3.8290 60.00 60.00 60.00
Sites, in units of the cell vectors:
Na (0.0000, 0.0000, 0.0000)
Os (0.5000, 0.5000, 0.5000)
C (0.2500, 0.2500, 0.2500)
C (0.7500, 0.7500, 0.7500)

--- ii ---
Entry from Alexandria via LeMat-Bulk: an optimized crystal structure of NaOsC2 (GGA-PBE).

Results
The total moment comes out at 0.00 μB/f.u. As for the density: 5149 kg/m³.

Lattice parameters (Å, degrees): 6.3512 6.3512 6.3512 128.39 128.39 75.99
Sites, in units of the cell vectors:
Na (0.0000, 0.0000, 0.0000)
Na (0.7500, 0.2500, 0.5000)
Os (0.2500, 0.7500, 0.5000)
Os (0.5000, 0.5000, 0.0000)
C (0.3315, 0.6250, 0.2065)
C (0.3750, 0.5815, 0.7065)
C (0.4185, 0.1250, 0.7935)
C (0.8750, 0.6685, 0.2935)

How do the energies compare? Relative to the most stable structure, in meV/atom: i 1081; ii 0.

--- i ---
Entry from Alexandria via LeMat-Bulk: an optimized crystal structure of NaP3C (GGA-PBE).

Results
The total moment comes out at 0.72 μB/f.u. As for the density: 1908 kg/m³.

Lattice parameters (Å, degrees): 4.8102 4.8102 4.8102 90.00 90.00 90.00
Sites, in units of the cell vectors:
Na (0.0000, 0.0000, 0.0000)
P (0.0000, 0.0000, 0.5000)
P (0.0000, 0.5000, 0.0000)
P (0.5000, 0.0000, 0.0000)
C (0.5000, 0.5000, 0.5000)

--- ii ---
Entry from Alexandria via LeMat-Bulk: an optimized crystal structure of NaP3C (GGA-PBE).

Results
The total moment comes out at 0.00 μB/f.u. As for the density: 2826 kg/m³.

Lattice parameters (Å, degrees): 4.2203 4.2203 4.2203 90.00 90.00 90.00
Sites, in units of the cell vectors:
Na (0.0000, 0.0000, 0.0000)
P (0.0000, 0.5000, 0.5000)
P (0.5000, 0.0000, 0.5000)
P (0.5000, 0.5000, 0.0000)
C (0.5000, 0.5000, 0.5000)

How do the energies compare? Relative to the most stable structure, in meV/atom: i 1780; ii 0.

--- i ---
Entry from Alexandria via LeMat-Bulk: an optimized crystal structure of NaPCS2 (GGA-PBE).

Results
The total moment comes out at 0.00 μB/f.u. As for the density: 2750 kg/m³.

Lattice parameters (Å, degrees): 4.5493 4.5493 3.7956 90.00 90.00 90.00
Sites, in units of the cell vectors:
Na (0.0000, 0.0000, 0.0000)
P (0.5000, 0.5000, 0.0000)
C (0.5000, 0.5000, 0.5000)
S (0.0000, 0.5000, 0.5000)
S (0.5000, 0.0000, 0.5000)

--- ii ---
Entry from Alexandria via LeMat-Bulk: an optimized crystal structure of NaPCS2 (GGA-PBE).

Results
The total moment comes out at 0.02 μB/f.u. As for the density: 1922 kg/m³.

Lattice parameters (Å, degrees): 4.8078 4.8078 4.8622 90.00 90.00 90.00
Sites, in units of the cell vectors:
Na (0.0000, 0.0000, 0.0000)
P (0.0000, 0.0000, 0.5000)
C (0.5000, 0.5000, 0.5000)
S (0.0000, 0.5000, 0.0000)
S (0.5000, 0.0000, 0.0000)

How do the energies compare? Relative to the most stable structure, in meV/atom: i 0; ii 1781.

--- i ---
Entry from Alexandria via LeMat-Bulk: an optimized crystal structure of NaPbC3 (GGA-PBE).

Results
The total moment comes out at 1.24 μB/f.u. As for the density: 4568 kg/m³.

Lattice parameters (Å, degrees): 4.5912 4.5912 4.5912 90.00 90.00 90.00
Sites, in units of the cell vectors:
Na (0.0000, 0.0000, 0.0000)
Pb (0.5000, 0.5000, 0.5000)
C (0.0000, 0.5000, 0.5000)
C (0.5000, 0.0000, 0.5000)
C (0.5000, 0.5000, 0.0000)

--- ii ---
Entry from Alexandria via LeMat-Bulk: an optimized crystal structure of NaPbC3 (GGA-PBE).

Results
The total moment comes out at 0.00 μB/f.u. As for the density: 5360 kg/m³.

Lattice parameters (Å, degrees): 4.3528 4.3528 4.3528 90.00 90.00 90.00
Sites, in units of the cell vectors:
Na (0.0000, 0.0000, 0.0000)
Pb (0.5000, 0.5000, 0.5000)
C (0.0000, 0.0000, 0.5000)
C (0.0000, 0.5000, 0.0000)
C (0.5000, 0.0000, 0.0000)

How do the energies compare? Relative to the most stable structure, in meV/atom: i 0; ii 302.

--- i ---
Entry from Alexandria via LeMat-Bulk: an optimized crystal structure of NaY2PbC (GGA-PBE).

Results
The total moment comes out at 0.00 μB/f.u. As for the density: 5484 kg/m³.

Lattice parameters (Å, degrees): 5.5148 5.5148 4.1820 90.00 90.00 90.00
Sites, in units of the cell vectors:
Na (0.0000, 0.0000, 0.0000)
Y (0.0000, 0.5000, 0.0000)
Y (0.5000, 0.0000, 0.0000)
Pb (0.5000, 0.5000, 0.5000)
C (0.0000, 0.0000, 0.5000)

--- ii ---
Entry from Alexandria via LeMat-Bulk: an optimized crystal structure of NaY2PbC (GGA-PBE).

Results
The total moment comes out at 0.00 μB/f.u. As for the density: 5923 kg/m³.

Lattice parameters (Å, degrees): 4.9135 4.9135 4.8772 90.00 90.00 90.00
Sites, in units of the cell vectors:
Na (0.0000, 0.0000, 0.0000)
Y (0.0000, 0.5000, 0.5000)
Y (0.5000, 0.0000, 0.5000)
Pb (0.5000, 0.5000, 0.0000)
C (0.0000, 0.0000, 0.5000)

How do the energies compare? Relative to the most stable structure, in meV/atom: i 1387; ii 0.

--- i ---
Entry from Alexandria via LeMat-Bulk: an optimized crystal structure of NaZnPb2C (GGA-PBE).

Results
The total moment comes out at 1.53 μB/f.u. As for the density: 5658 kg/m³.

Lattice parameters (Å, degrees): 5.3131 5.3131 5.3527 90.00 90.00 90.00
Sites, in units of the cell vectors:
Na (0.0000, 0.0000, 0.0000)
Zn (0.0000, 0.0000, 0.5000)
Pb (0.0000, 0.5000, 0.5000)
Pb (0.5000, 0.0000, 0.5000)
C (0.5000, 0.5000, 0.0000)

--- ii ---
Entry from Alexandria via LeMat-Bulk: an optimized crystal structure of NaZnPb2C (GGA-PBE).

Results
The total moment comes out at 0.00 μB/f.u. As for the density: 6844 kg/m³.

Lattice parameters (Å, degrees): 5.8244 5.8244 3.6819 90.00 90.00 90.00
Sites, in units of the cell vectors:
Na (0.0000, 0.0000, 0.0000)
Zn (0.5000, 0.5000, 0.5000)
Pb (0.0000, 0.5000, 0.5000)
Pb (0.5000, 0.0000, 0.5000)
C (0.5000, 0.5000, 0.0000)

How do the energies compare? Relative to the most stable structure, in meV/atom: i 716; ii 0.

--- i ---
Entry from Alexandria via LeMat-Bulk: an optimized crystal structure of NaPdC3 (GGA-PBE).

Results
The total moment comes out at 0.89 μB/f.u. As for the density: 3837 kg/m³.

Lattice parameters (Å, degrees): 4.1523 4.1523 4.1523 90.00 90.00 90.00
Sites, in units of the cell vectors:
Na (0.0000, 0.0000, 0.0000)
Pd (0.5000, 0.5000, 0.5000)
C (0.0000, 0.5000, 0.5000)
C (0.5000, 0.0000, 0.5000)
C (0.5000, 0.5000, 0.0000)

--- ii ---
Entry from Alexandria via LeMat-Bulk: an optimized crystal structure of NaPdC3 (GGA-PBE).

Results
The total moment comes out at 0.00 μB/f.u. As for the density: 4097 kg/m³.

Lattice parameters (Å, degrees): 4.0627 4.0627 4.0627 90.00 90.00 90.00
Sites, in units of the cell vectors:
Na (0.0000, 0.0000, 0.0000)
Pd (0.5000, 0.5000, 0.5000)
C (0.0000, 0.0000, 0.5000)
C (0.0000, 0.5000, 0.0000)
C (0.5000, 0.0000, 0.0000)

How do the energies compare? Relative to the most stable structure, in meV/atom: i 0; ii 1266.

--- i ---
Entry from Alexandria via LeMat-Bulk: an optimized crystal structure of Na2Pd2C (GGA-PBE).

Results
The total moment comes out at 1.58 μB/f.u. As for the density: 4334 kg/m³.

Lattice parameters (Å, degrees): 8.4888 8.4888 8.4888 155.66 155.66 34.69
Sites, in units of the cell vectors:
Na (0.0912, 0.0912, 0.0000)
Na (0.9088, 0.9088, 0.0000)
Pd (0.2500, 0.7500, 0.5000)
Pd (0.7500, 0.2500, 0.5000)
C (0.5000, 0.5000, 0.0000)

--- ii ---
Entry from Alexandria via LeMat-Bulk: an optimized crystal structure of Na2Pd2C (GGA-PBE).

Results
The total moment comes out at 0.00 μB/f.u. As for the density: 5567 kg/m³.

Lattice parameters (Å, degrees): 6.1018 6.1018 4.3392 90.00 90.00 90.00
Sites, in units of the cell vectors:
Na (0.1416, 0.3584, 0.0000)
Na (0.3584, 0.8584, 0.0000)
Na (0.6416, 0.1416, 0.0000)
Na (0.8584, 0.6416, 0.0000)
Pd (0.1776, 0.6776, 0.5000)
Pd (0.3224, 0.1776, 0.5000)
Pd (0.6776, 0.8224, 0.5000)
Pd (0.8224, 0.3224, 0.5000)
C (0.0000, 0.0000, 0.0000)
C (0.5000, 0.5000, 0.0000)

How do the energies compare? Relative to the most stable structure, in meV/atom: i 0; ii 107.